Computed, not measured: a relaxed NiI2O crystal at the PBE with a Hubbard U level of DFT.

Magnetic moment: 0.56 μB/f.u.
Total energy: -8.1 eV/f.u.

Lattice parameters (Å, degrees): 5.5171 5.5171 7.9281 69.64 69.64 90.00
Last column: magnetic moment on the atom in μB.
Fractional positions:
1 I 0.6139 0.1250 0.2500  0.06
2 I 0.1361 0.6250 0.2500  0.07
3 I 0.3750 0.3861 0.7500  0.05
4 I 0.8750 0.8639 0.7500  0.05
5 Ni 0.0000 0.0000 0.0000  -1.37
6 Ni 0.7500 0.2500 0.5000  -1.37
7 O 0.5000 0.5000 0.0000  0.53
8 O 0.2500 0.7500 0.5000  0.51